A plane-wave DFT calculation with PBE was carried out for an optimized crystal structure of SmMgGa2Au4.

Summary:
Volume, Å³ per atom: 19.60
DOS(E_F), states/eV/f.u.: 3.95
M_tot, μB/cell: 0.00
Electronic total energy, eV per atom: -3.7131

Unit cell a=4.5703 b=4.5703 c=9.0590 alpha=75.39 beta=75.39 gamma=60.00
Positions (direct):
Sm 0.0000 0.0000 0.0000
Mg 0.5000 0.5000 0.5000
Ga 0.7534 0.7534 0.7398
Ga 0.2466 0.2466 0.2602
Au 0.3937 0.3937 0.8190
Au 0.8669 0.8669 0.3994
Au 0.1331 0.1331 0.6006
Au 0.6063 0.6063 0.1810